The following is a DFT calculation (GGA-PBE) of an optimized crystal structure of Cu3O2. Values from VASP.

Geometry as Quantum ESPRESSO input:
```
&SYSTEM
  ibrav = 0, nat = 10, ntyp = 2
/
ATOMIC_SPECIES
Cu 63.55 Cu.upf
O 16.00 O.upf
ATOMIC_POSITIONS crystal
Cu 0.0000 0.0000 0.0000
Cu 0.0000 0.5000 0.2500
Cu 0.0000 0.5000 0.7500
Cu 0.5000 0.0000 0.2500
Cu 0.5000 0.0000 0.7500
Cu 0.5000 0.5000 0.5000
O 0.0000 0.5000 0.0000
O 0.0000 0.5000 0.5000
O 0.5000 0.0000 0.0000
O 0.5000 0.0000 0.5000
CELL_PARAMETERS angstrom
4.0403 0.0000 0.0000
0.0000 4.0403 0.0000
0.0000 0.0000 7.3532
```

- energy (Ry/atom) = -0.350
- distance to the lowest polymorph of the same formula (eV/atom) = 0.080
- space group = I4/mmm
- ΔE_f (raw) (kJ per mole of atoms) = -30.97
- ρ (kg/m3) = 6160